No. 1
# GGA-PBE La2Tl2C, relaxed
data_La2Tl2C
_symmetry_space_group_name_H-M 'P 4/m b m'
_symmetry_Int_Tables_number 127
_symmetry_space_group_name_Hall '-P 4 2ab'
_cell_length_a 6.931
_cell_length_b 6.931
_cell_length_c 5.963
_cell_angle_alpha 90.00
_cell_angle_beta 90.00
_cell_angle_gamma 90.00
loop_
_atom_site_label
_atom_site_type_symbol
_atom_site_fract_x
_atom_site_fract_y
_atom_site_fract_z
La1 La 0.181 0.319 0.000
Tl1 Tl 0.155 0.655 0.500
C1 C 0.000 0.000 0.000
# Formation enthalpy at 0 K in eV/atom: 0.20
# ρ in kg/m³: 8100
# DOS at the Fermi energy in states/eV/f.u.: 4.8
# Relative energy among the computed polymorphs in kJ/mol of formula units: 0.0
# Volume in Å³/cell: 286.4


No. 2
# GGA-PBE CoPdS2N, relaxed
data_CoPdS2N
_symmetry_space_group_name_H-M 'P 4/m m m'
_symmetry_Int_Tables_number 123
_symmetry_space_group_name_Hall '-P 4 2'
_cell_length_a 4.655
_cell_length_b 4.655
_cell_length_c 3.329
_cell_angle_alpha 90.00
_cell_angle_beta 90.00
_cell_angle_gamma 90.00
loop_
_atom_site_label
_atom_site_type_symbol
_atom_site_fract_x
_atom_site_fract_y
_atom_site_fract_z
Co1 Co 0.000 0.000 0.000
Pd1 Pd 0.500 0.500 0.500
S1 S 0.000 0.500 0.000
N1 N 0.000 0.000 0.500
# ρ in kg/m³: 5605
# DOS at the Fermi energy in states/eV/f.u.: 4.3
# Energy relative to the elements, uncorrected in eV per atom: 0.525
# Relative energy among the computed polymorphs in kJ/mol of formula units: 0.0
# Volume in Å³/cell: 72.1


No. 3
# GGA-PBE Lu3HgS, relaxed
data_Lu3HgS
_symmetry_space_group_name_H-M 'P m -3 m'
_symmetry_Int_Tables_number 221
_symmetry_space_group_name_Hall '-P 4 2 3'
_cell_length_a 5.014
_cell_length_b 5.014
_cell_length_c 5.014
_cell_angle_alpha 90.00
_cell_angle_beta 90.00
_cell_angle_gamma 90.00
loop_
_atom_site_label
_atom_site_type_symbol
_atom_site_fract_x
_atom_site_fract_y
_atom_site_fract_z
Lu1 Lu 0.000 0.000 0.500
Hg1 Hg 0.500 0.500 0.500
S1 S 0.000 0.000 0.000
# ρ in kg/m³: 9980
# DOS at the Fermi energy in states/eV/f.u.: 3.0
# Energy relative to the elements, uncorrected in eV per atom: -0.728
# Volume in Å³/cell: 126.1


No. 4
# GGA-PBE CdAu2Br8, relaxed
data_CdAu2Br8
_symmetry_space_group_name_H-M 'C 1 2/m 1'
_symmetry_Int_Tables_number 12
_cell_length_a 12.481
_cell_length_b 8.010
_cell_length_c 7.362
_cell_angle_alpha 90.00
_cell_angle_beta 106.98
_cell_angle_gamma 90.00
loop_
_symmetry_equiv_pos_as_xyz
'x,y,z'
'-x,-y,-z'
'-x,y,-z'
'x,-y,z'
'x+1/2,y+1/2,z'
'-x+1/2,-y+1/2,-z'
'-x+1/2,y+1/2,-z'
'x+1/2,-y+1/2,z'
loop_
_atom_site_label
_atom_site_type_symbol
_atom_site_fract_x
_atom_site_fract_y
_atom_site_fract_z
Cd1 Cd 0.000 0.000 0.000
Au1 Au 0.192 0.000 0.649
Br1 Br 0.091 0.221 0.792
Br2 Br 0.091 0.500 0.261
Br3 Br 0.199 0.000 0.304
# ρ in kg/m³: 5405
# DOS at the Fermi energy in states/eV/f.u.: 6.5
# Energy relative to the elements, uncorrected in eV per atom: -0.102
# Volume in Å³/cell: 703.9